InGaFe2 | PBE-GGA | optimized geometry

Lattice parameters (Å, degrees): 6.1558 6.1558 6.1558 90.00 90.00 90.00
Closest atoms and distances in Å follow each position.
Sites, in units of the cell vectors:
In (0.0000, 0.0000, 0.0000)  8 Fe 2.92, 6 In 3.08
In (0.0000, 0.0000, 0.5000)  8 Fe 2.76, 2 In 3.08, 4 Ga 3.08
In (0.0000, 0.5000, 0.0000)  8 Fe 2.76, 2 In 3.08, 4 Ga 3.08
In (0.5000, 0.0000, 0.0000)  8 Fe 2.76, 2 In 3.08, 4 Ga 3.08
Ga (0.0000, 0.5000, 0.5000)  8 Fe 2.59
Ga (0.5000, 0.0000, 0.5000)  8 Fe 2.59
Ga (0.5000, 0.5000, 0.0000)  8 Fe 2.59
Ga (0.5000, 0.5000, 0.5000)  8 Fe 2.42
Fe (0.2734, 0.2734, 0.2734)  4 Ga 2.42-2.59
Fe (0.2734, 0.2734, 0.7266)  4 Ga 2.42-2.59
Fe (0.2734, 0.7266, 0.2734)  4 Ga 2.42-2.59
Fe (0.2734, 0.7266, 0.7266)  4 Ga 2.42-2.59
Fe (0.7266, 0.2734, 0.2734)  4 Ga 2.42-2.59
Fe (0.7266, 0.2734, 0.7266)  4 Ga 2.42-2.59
Fe (0.7266, 0.7266, 0.2734)  4 Ga 2.42-2.59
Fe (0.7266, 0.7266, 0.7266)  4 Ga 2.42-2.59

Computed properties:
Energy, eV/f.u.: -21.80